Record 1
PBE AgPtSeBr2, optimized geometry; total DFT energy (no corrections) = -2.912 eV/atom; density of states at the Fermi level = 0.725 states/eV per atom; raw formation energy = 0.233 eV per atom; polymorph energy (0 for the lowest one) = 0 meV/atom; density = 6.631 g cm⁻³; spin magnetization = 0.000 μB/cell
1.0
5.303 0.000 0.000
0.000 5.303 0.000
0.000 0.000 4.824
Ag Pt Se Br
1 1 1 2
Direct
0.000 0.000 0.000 Ag
0.500 0.500 0.500 Pt
0.500 0.500 0.000 Se
0.000 0.500 0.500 Br
0.500 0.000 0.500 Br

Record 2
PBE SrAg2PtBr, optimized geometry; total DFT energy (no corrections) = -2.130 eV/atom; density of states at the Fermi level = 1.078 states/eV per atom; raw formation energy = 0.889 eV per atom; density = 5.211 g cm⁻³; spin magnetization = 0.000 μB/cell
1.0
5.823 0.000 0.000
0.000 5.823 0.000
0.000 0.000 5.434
Sr Ag Pt Br
1 2 1 1
Direct
0.000 0.000 0.000 Sr
0.000 0.500 0.000 Ag
0.500 0.000 0.000 Ag
0.500 0.500 0.500 Pt
0.000 0.000 0.500 Br

Record 3
PBE TiAgPtBr2, optimized geometry; total DFT energy (no corrections) = -3.506 eV/atom; density of states at the Fermi level = 1.622 states/eV per atom; raw formation energy = 0.521 eV per atom; density = 6.373 g cm⁻³; spin magnetization = 0.000 μB/cell
1.0
5.198 0.000 0.000
0.000 5.198 0.000
0.000 0.000 4.924
Ti Ag Pt Br
1 1 1 2
Direct
0.000 0.000 0.000 Ti
0.500 0.500 0.000 Ag
0.000 0.000 0.500 Pt
0.000 0.500 0.500 Br
0.500 0.000 0.500 Br

Record 4
PBE TlAgPtBr6, optimized geometry; total DFT energy (no corrections) = -2.726 eV/atom; raw formation energy = -0.359 eV per atom; density = 5.625 g cm⁻³; spin magnetization = 0.000 μB/cell
1.0
6.972 0.000 0.000
0.000 6.972 0.000
0.000 0.000 11.985
Tl Ag Pt Br
2 2 2 12
Direct
0.000 0.000 0.000 Tl
0.500 0.500 0.500 Tl
0.000 0.000 0.700 Ag
0.500 0.500 0.200 Ag
0.000 0.000 0.352 Pt
0.500 0.500 0.852 Pt
0.171 0.171 0.509 Br
0.186 0.186 0.209 Br
0.240 0.240 0.847 Br
0.260 0.740 0.347 Br
0.314 0.686 0.709 Br
0.329 0.671 0.009 Br
0.671 0.329 0.009 Br
0.686 0.314 0.709 Br
0.740 0.260 0.347 Br
0.760 0.760 0.847 Br
0.814 0.814 0.209 Br
0.829 0.829 0.509 Br

Record 5
PBE PuAg2Br6, optimized geometry; total DFT energy (no corrections) = -4.151 eV/atom; density of states at the Fermi level = 1.432 states/eV per atom; raw formation energy = -0.810 eV per atom; polymorph energy (0 for the lowest one) = 55 meV/atom; density = 4.726 g cm⁻³; spin magnetization = 8.124 μB/cell
1.0
7.146 -6.200 0.000
7.146 6.200 0.000
-0.771 0.000 7.449
Pu Ag Br
2 4 12
Direct
0.091 0.909 0.750 Pu
0.909 0.091 0.250 Pu
0.334 0.448 0.706 Ag
0.448 0.334 0.206 Ag
0.552 0.666 0.794 Ag
0.666 0.552 0.294 Ag
0.039 0.178 0.590 Br
0.124 0.638 0.862 Br
0.178 0.039 0.090 Br
0.259 0.493 0.376 Br
0.362 0.876 0.638 Br
0.493 0.259 0.876 Br
0.507 0.741 0.124 Br
0.638 0.124 0.362 Br
0.741 0.507 0.624 Br
0.822 0.961 0.910 Br
0.876 0.362 0.138 Br
0.961 0.822 0.410 Br

Record 6
PBE PuAgBr5, optimized geometry; total DFT energy (no corrections) = -4.640 eV/atom; density of states at the Fermi level = 1.514 states/eV per atom; raw formation energy = -0.990 eV per atom; density = 4.585 g cm⁻³; spin magnetization = 8.000 μB/cell
1.0
5.453 -5.251 0.000
5.453 5.251 0.000
-5.231 0.000 9.503
Pu Ag Br
2 2 10
Direct
0.000 0.500 0.000 Pu
0.500 0.000 0.500 Pu
0.128 0.872 0.750 Ag
0.872 0.128 0.250 Ag
0.174 0.179 0.483 Br
0.179 0.174 0.983 Br
0.185 0.577 0.845 Br
0.314 0.686 0.250 Br
0.423 0.815 0.655 Br
0.577 0.185 0.345 Br
0.686 0.314 0.750 Br
0.815 0.423 0.155 Br
0.821 0.826 0.017 Br
0.826 0.821 0.517 Br

Record 7
PBE PuAgBr, optimized geometry; total DFT energy (no corrections) = -6.727 eV/atom; density of states at the Fermi level = 0.939 states/eV per atom; raw formation energy = -0.442 eV per atom; density = 10.181 g cm⁻³; spin magnetization = 0.000 μB/cell
1.0
3.065 -1.770 0.000
3.065 1.770 0.000
-2.014 0.000 12.982
Pu Ag Br
2 2 2
Direct
0.000 0.000 0.000 Pu
0.700 0.700 0.103 Pu
0.206 0.206 0.624 Ag
0.492 0.492 0.479 Ag
0.281 0.281 0.841 Br
0.419 0.419 0.262 Br

Record 8
PBE PuAg2Br6, optimized geometry; total DFT energy (no corrections) = -4.206 eV/atom; density of states at the Fermi level = 0.635 states/eV per atom; raw formation energy = -0.865 eV per atom; polymorph energy (0 for the lowest one) = 0 meV/atom; density = 4.747 g cm⁻³; spin magnetization = 7.998 μB/cell
1.0
6.855 0.000 0.000
0.000 7.916 0.000
-5.835 0.000 12.109
Pu Ag Br
2 4 12
Direct
0.000 0.000 0.000 Pu
0.000 0.500 0.500 Pu
0.412 0.100 0.892 Ag
0.412 0.400 0.392 Ag
0.588 0.600 0.608 Ag
0.588 0.900 0.108 Ag
0.118 0.215 0.416 Br
0.118 0.285 0.916 Br
0.215 0.717 0.418 Br
0.215 0.783 0.918 Br
0.364 0.032 0.205 Br
0.364 0.468 0.705 Br
0.636 0.532 0.295 Br
0.636 0.968 0.795 Br
0.785 0.217 0.082 Br
0.785 0.283 0.582 Br
0.882 0.715 0.084 Br
0.882 0.785 0.584 Br

Record 9
PBE PuAgBr2, optimized geometry; total DFT energy (no corrections) = -5.508 eV/atom; density of states at the Fermi level = 2.835 states/eV per atom; raw formation energy = -0.376 eV per atom; density = 6.856 g cm⁻³; spin magnetization = 6.531 μB/cell
1.0
1.966 1.135 9.257
-1.966 1.135 9.257
0.000 -2.270 9.257
Pu Ag Br
1 1 2
Direct
0.000 0.000 0.000 Pu
0.500 0.500 0.500 Ag
0.104 0.104 0.104 Br
0.896 0.896 0.896 Br

Record 10
PBE Pu3Ag5Br12, optimized geometry; total DFT energy (no corrections) = -4.734 eV/atom; density of states at the Fermi level = 2.010 states/eV per atom; raw formation energy = -0.868 eV per atom; density = 5.999 g cm⁻³; spin magnetization = 68.006 μB/cell
1.0
-8.515 8.515 8.515
8.515 -8.515 8.515
8.515 8.515 -8.515
Pu Ag Br
12 20 48
Direct
0.125 0.250 0.375 Pu
0.125 0.375 0.750 Pu
0.250 0.375 0.125 Pu
0.250 0.875 0.625 Pu
0.375 0.125 0.250 Pu
0.375 0.750 0.125 Pu
0.625 0.250 0.875 Pu
0.625 0.875 0.750 Pu
0.750 0.125 0.375 Pu
0.750 0.625 0.875 Pu
0.875 0.625 0.250 Pu
0.875 0.750 0.625 Pu
0.000 0.000 0.000 Ag
0.000 0.000 0.500 Ag
0.000 0.500 0.000 Ag
0.000 0.500 0.500 Ag
0.125 0.750 0.875 Ag
0.125 0.875 0.250 Ag
0.250 0.125 0.875 Ag
0.250 0.625 0.375 Ag
0.375 0.250 0.625 Ag
0.375 0.625 0.750 Ag
0.500 0.000 0.000 Ag
0.500 0.000 0.500 Ag
0.500 0.500 0.000 Ag
0.500 0.500 0.500 Ag
0.625 0.375 0.250 Ag
0.625 0.750 0.375 Ag
0.750 0.375 0.625 Ag
0.750 0.875 0.125 Ag
0.875 0.125 0.750 Ag
0.875 0.250 0.125 Ag
0.046 0.221 0.130 Br
0.046 0.325 0.916 Br
0.084 0.630 0.409 Br
0.084 0.954 0.675 Br
0.091 0.721 0.675 Br
0.091 0.870 0.416 Br
0.130 0.046 0.221 Br
0.130 0.584 0.909 Br
0.175 0.221 0.591 Br
0.175 0.454 0.584 Br
0.221 0.130 0.046 Br
0.221 0.591 0.175 Br
0.279 0.325 0.909 Br
0.279 0.454 0.370 Br
0.325 0.909 0.279 Br
0.325 0.916 0.046 Br
0.370 0.279 0.454 Br
0.370 0.591 0.916 Br
0.409 0.084 0.630 Br
0.409 0.825 0.779 Br
0.416 0.091 0.870 Br
0.416 0.825 0.546 Br
0.454 0.370 0.279 Br
0.454 0.584 0.175 Br
0.546 0.416 0.825 Br
0.546 0.630 0.721 Br
0.584 0.175 0.454 Br
0.584 0.909 0.130 Br
0.591 0.175 0.221 Br
0.591 0.916 0.370 Br
0.630 0.409 0.084 Br
0.630 0.721 0.546 Br
0.675 0.084 0.954 Br
0.675 0.091 0.721 Br
0.721 0.546 0.630 Br
0.721 0.675 0.091 Br
0.779 0.409 0.825 Br
0.779 0.870 0.954 Br
0.825 0.546 0.416 Br
0.825 0.779 0.409 Br
0.870 0.416 0.091 Br
0.870 0.954 0.779 Br
0.909 0.130 0.584 Br
0.909 0.279 0.325 Br
0.916 0.046 0.325 Br
0.916 0.370 0.591 Br
0.954 0.675 0.084 Br
0.954 0.779 0.870 Br

Record 11
PBE PuAg2Br5, optimized geometry; total DFT energy (no corrections) = -4.430 eV/atom; density of states at the Fermi level = 1.263 states/eV per atom; raw formation energy = -0.880 eV per atom; density = 5.067 g cm⁻³; spin magnetization = 5.000 μB/cell
1.0
5.825 0.000 0.000
2.701 6.967 0.000
2.814 0.101 6.939
Pu Ag Br
1 2 5
Direct
0.000 0.000 0.000 Pu
0.499 0.997 0.501 Ag
0.501 0.500 0.999 Ag
0.037 0.234 0.657 Br
0.276 0.666 0.759 Br
0.501 0.999 0.000 Br
0.725 0.334 0.240 Br
0.964 0.765 0.342 Br

Record 12
PBE PuAg5Br12, optimized geometry; total DFT energy (no corrections) = -3.216 eV/atom; density of states at the Fermi level = 1.181 states/eV per atom; raw formation energy = -0.512 eV per atom; density = 5.076 g cm⁻³; spin magnetization = 2.502 μB/cell
1.0
3.389 -6.284 0.000
3.389 6.284 0.000
-1.835 0.000 13.381
Pu Ag Br
1 5 12
Direct
0.000 0.000 0.000 Pu
0.167 0.833 0.500 Ag
0.352 0.648 0.000 Ag
0.500 0.500 0.500 Ag
0.648 0.352 0.000 Ag
0.833 0.167 0.500 Ag
0.018 0.701 0.118 Br
0.110 0.444 0.385 Br
0.223 0.223 0.615 Br
0.299 0.982 0.882 Br
0.346 0.346 0.136 Br
0.444 0.110 0.385 Br
0.556 0.890 0.615 Br
0.654 0.654 0.864 Br
0.701 0.018 0.118 Br
0.777 0.777 0.385 Br
0.890 0.556 0.615 Br
0.982 0.299 0.882 Br

Record 13
PBE PuAg3Br8, optimized geometry; total DFT energy (no corrections) = -3.724 eV/atom; density of states at the Fermi level = 1.036 states/eV per atom; raw formation energy = -0.701 eV per atom; density = 5.040 g cm⁻³; spin magnetization = 2.983 μB/cell
1.0
7.117 -4.137 0.000
7.117 4.137 0.000
-4.684 0.000 6.753
Pu Ag Br
1 3 8
Direct
0.000 0.000 0.000 Pu
0.000 0.500 0.500 Ag
0.500 0.000 0.500 Ag
0.500 0.500 0.000 Ag
0.227 0.763 0.237 Br
0.236 0.236 0.227 Br
0.237 0.773 0.763 Br
0.271 0.271 0.730 Br
0.729 0.729 0.270 Br
0.763 0.227 0.237 Br
0.764 0.764 0.773 Br
0.773 0.237 0.763 Br

Record 14
PBE PuAg2Br8, optimized geometry; total DFT energy (no corrections) = -3.733 eV/atom; density of states at the Fermi level = 0.569 states/eV per atom; raw formation energy = -0.695 eV per atom; density = 4.228 g cm⁻³; spin magnetization = 4.000 μB/cell
1.0
5.749 -5.855 0.000
5.749 5.855 0.000
-2.676 0.000 6.410
Pu Ag Br
1 2 8
Direct
0.000 0.000 0.000 Pu
0.149 0.149 0.629 Ag
0.851 0.851 0.371 Ag
0.090 0.743 0.186 Br
0.239 0.239 0.333 Br
0.257 0.910 0.814 Br
0.427 0.427 0.824 Br
0.573 0.573 0.176 Br
0.743 0.090 0.186 Br
0.761 0.761 0.667 Br
0.910 0.257 0.814 Br

Record 15
PBE RbPu2AgBr8, optimized geometry; total DFT energy (no corrections) = -5.152 eV/atom; density of states at the Fermi level = 1.935 states/eV per atom; raw formation energy = -1.330 eV per atom; density = 4.816 g cm⁻³; spin magnetization = 10.000 μB/cell
1.0
7.122 0.000 0.000
0.000 8.931 0.000
-0.877 0.000 7.160
Rb Pu Ag Br
1 2 1 8
Direct
0.000 0.000 0.000 Rb
0.500 0.258 0.500 Pu
0.500 0.742 0.500 Pu
0.000 0.500 0.000 Ag
0.263 0.284 0.156 Br
0.263 0.716 0.156 Br
0.277 0.500 0.630 Br
0.284 0.000 0.617 Br
0.716 0.000 0.383 Br
0.723 0.500 0.370 Br
0.737 0.284 0.844 Br
0.737 0.716 0.844 Br

Record 16
PBE RbPuAg2Br6, optimized geometry; total DFT energy (no corrections) = -4.171 eV/atom; density of states at the Fermi level = 1.144 states/eV per atom; raw formation energy = -1.067 eV per atom; density = 5.051 g cm⁻³; spin magnetization = 5.000 μB/cell
1.0
7.508 0.000 0.000
-3.688 6.554 0.000
-0.012 -4.312 6.846
Rb Pu Ag Br
1 1 2 6
Direct
0.000 0.000 0.000 Rb
0.472 0.946 0.421 Pu
0.285 0.569 0.855 Ag
0.802 0.609 0.414 Ag
0.055 0.678 0.152 Br
0.208 0.743 0.631 Br
0.466 0.523 0.150 Br
0.543 0.425 0.635 Br
0.621 0.093 0.151 Br
0.885 0.096 0.631 Br

Record 17
PBE Rb3PuAg2Br8, optimized geometry; total DFT energy (no corrections) = -3.832 eV/atom; density of states at the Fermi level = 0.827 states/eV per atom; raw formation energy = -1.237 eV per atom; density = 4.048 g cm⁻³; spin magnetization = 5.000 μB/cell
1.0
7.897 0.000 0.000
-3.949 6.839 0.000
0.000 0.000 10.293
Rb Pu Ag Br
3 1 2 8
Direct
0.000 0.000 0.000 Rb
0.333 0.667 0.614 Rb
0.667 0.333 0.386 Rb
0.000 0.000 0.500 Pu
0.333 0.667 0.175 Ag
0.667 0.333 0.825 Ag
0.166 0.333 0.332 Br
0.166 0.834 0.332 Br
0.333 0.166 0.668 Br
0.333 0.667 0.930 Br
0.667 0.333 0.070 Br
0.667 0.834 0.332 Br
0.834 0.166 0.668 Br
0.834 0.667 0.668 Br

Record 18
PBE RbPuAg2Br8, optimized geometry; total DFT energy (no corrections) = -3.709 eV/atom; density of states at the Fermi level = 1.931 states/eV per atom; raw formation energy = -0.843 eV per atom; density = 4.330 g cm⁻³; spin magnetization = 3.372 μB/cell
1.0
-5.021 5.021 4.505
5.021 -5.021 4.505
5.021 5.021 -4.505
Rb Pu Ag Br
1 1 2 8
Direct
0.000 0.000 0.000 Rb
0.750 0.250 0.500 Pu
0.250 0.750 0.500 Ag
0.500 0.500 0.000 Ag
0.026 0.359 0.333 Br
0.026 0.693 0.667 Br
0.103 0.319 0.784 Br
0.307 0.974 0.333 Br
0.535 0.319 0.216 Br
0.641 0.974 0.667 Br
0.681 0.465 0.784 Br
0.681 0.897 0.216 Br